The following is a GGA-PBE calculation of a relaxed structure of Ti3B, from Alexandria via LeMat-Bulk.

The space group is Imm2 (No. 44) and the conventional cell measures 2.8343, 7.7896 and 5.2176 Å, with angles of 90.00, 90.00 and 90.00 degrees. The asymmetric unit holds Ti at (0.0000, 0.0000, 0.0000), Ti at (0.0000, 0.1884, 0.5534) and B at (0.0000, 0.5000, 0.8231).

As for the calculated formation energy: -0.3 eV/f.u.

***

The following is a GGA-PBE calculation of a relaxed structure of RbSmCdTe3, from Alexandria via LeMat-Bulk.

The space group is P2_1/m (No. 11) and the conventional cell measures 9.8921, 4.5870 and 10.9960 Å, with angles of 90.00, 108.64 and 90.00 degrees. The asymmetric unit holds Rb at (0.2154, 0.2500, 0.2432), Sm at (0.3265, 0.7500, 0.8641), Cd at (0.0840, 0.2500, 0.6099), Te at (0.1051, 0.2500, 0.8710), Te at (0.2250, 0.7500, 0.5430) and Te at (0.4658, 0.7500, 0.1598).

Its uncorrected formation energy is -1.07 eV per atom.

***

The following is a GGA-PBE calculation of a relaxed structure of LaMnW2, from Alexandria via LeMat-Bulk.

The space group is P2/m (No. 10) and the conventional cell measures 2.9306, 3.5112 and 7.5025 Å, with angles of 90.00, 95.07 and 90.00 degrees. The asymmetric unit holds La at (0.0000, 0.0000, 0.0000), Mn at (0.0000, 0.0000, 0.5000) and W at (0.4418, 0.5000, 0.6662).

The excess energy over the best structure of this formula in the dataset is 0.64 eV/f.u. As for the calculated formation energy: 2.2 eV/f.u.

***

The following is a GGA-PBE calculation of a relaxed structure of CaNdMg2Tl4, from Alexandria via LeMat-Bulk.

The space group is R-3m (No. 166, hexagonal axes) and the conventional cell measures 5.3083, 5.3083 and 26.4008 Å, with angles of 90.00, 90.00 and 120.00 degrees. The asymmetric unit holds Ca at (0.0000, 0.0000, 0.0000), Nd at (0.0000, 0.0000, 0.5000), Mg at (0.0000, 0.0000, 0.2500), Tl at (0.0000, 0.0000, 0.1228) and Tl at (0.0000, 0.0000, 0.3740).

As for the calculated formation energy: -2.2 eV/f.u.

***

The following is a GGA-PBE calculation of a relaxed structure of Ti3SiBi, from Alexandria via LeMat-Bulk.

The space group is Pm-3m (No. 221) and the conventional cell measures 4.6896, 4.6896 and 4.6896 Å, with angles of 90.00, 90.00 and 90.00 degrees. The asymmetric unit holds Ti at (0.0000, 0.0000, 0.5000), Si at (0.0000, 0.0000, 0.0000) and Bi at (0.5000, 0.5000, 0.5000).

The excess energy over the best structure of this formula in the dataset is 2.37 eV/f.u. Its uncorrected formation energy is 0.10 eV per atom.

***

The following is a GGA-PBE calculation of a relaxed structure of BaAcCdN, from Alexandria via LeMat-Bulk.

The space group is Cm (No. 8) and the conventional cell measures 5.7445, 5.0880 and 8.4813 Å, with angles of 90.00, 108.21 and 90.00 degrees. The asymmetric unit holds Ba at (0.0000, 0.0000, 0.0000), Ac at (0.3164, 0.0000, 0.6051), Cd at (0.1466, 0.5000, 0.2981) and N at (0.2673, 0.5000, 0.6712).

Its uncorrected formation energy is -0.50 eV per atom.

***

The following is a GGA-PBE calculation of a relaxed structure of CaSIO4, from Alexandria via LeMat-Bulk.

The space group is C2/m (No. 12) and the conventional cell measures 11.6585, 6.4374 and 6.6089 Å, with angles of 90.00, 99.40 and 90.00 degrees. The asymmetric unit holds Ca at (0.1944, 0.0000, 0.3120), S at (0.1383, 0.0000, 0.7505), I at (0.0350, 0.5000, 0.2029), O at (0.0112, 0.0000, 0.7357), O at (0.1777, 0.1855, 0.6389) and O at (0.1955, 0.0000, 0.9667).

Its uncorrected formation energy is -1.75 eV per atom.

***

The following is a GGA-PBE calculation of a relaxed structure of Ce2InS6, from Alexandria via LeMat-Bulk.

The space group is P4_2/mnm (No. 136) and the conventional cell measures 6.3010, 6.3010 and 12.2904 Å, with angles of 90.00, 90.00 and 90.00 degrees. The asymmetric unit holds Ce at (0.0000, 0.0000, 0.1686), In at (0.0000, 0.0000, 0.5000), S at (0.1961, 0.1961, 0.3415) and S at (0.1971, 0.1971, 0.0000).

Its uncorrected formation energy is -1.09 eV per atom.

***

The following is a GGA-PBE calculation of a relaxed structure of Ca4AsSe2I, from Alexandria via LeMat-Bulk.

The space group is P2/m (No. 10) and the conventional cell measures 7.4331, 4.3195 and 7.4983 Å, with angles of 90.00, 108.68 and 90.00 degrees. The asymmetric unit holds Ca at (0.2325, 0.0000, 0.2177), Ca at (0.2504, 0.5000, 0.7708), As at (0.5000, 0.0000, 0.0000), Se at (0.0000, 0.0000, 0.5000), Se at (0.0000, 0.5000, 0.0000) and I at (0.5000, 0.5000, 0.5000).

Its uncorrected formation energy is -1.65 eV per atom.

***

The following is a GGA-PBE calculation of a relaxed structure of Pr2NdN2, from Alexandria via LeMat-Bulk.

The space group is Immm (No. 71) and the conventional cell measures 3.6466, 5.2890 and 11.1701 Å, with angles of 90.00, 90.00 and 90.00 degrees. The asymmetric unit holds Pr at (0.0000, 0.0000, 0.1812), Nd at (0.0000, 0.0000, 0.5000) and N at (0.0000, 0.5000, 0.1679).

The excess energy over the best structure of this formula in the dataset is 0.21 eV/f.u. Its uncorrected formation energy is -1.02 eV per atom.

***

The following is a GGA-PBE calculation of a relaxed structure of TbDyCoCu, from Alexandria via LeMat-Bulk.

The space group is F-43m (No. 216) and the conventional cell measures 6.8158, 6.8158 and 6.8158 Å, with angles of 90.00, 90.00 and 90.00 degrees. The asymmetric unit holds Tb at (0.0000, 0.0000, 0.0000), Dy at (0.0000, 0.0000, 0.5000), Co at (0.2500, 0.2500, 0.2500) and Cu at (0.2500, 0.2500, 0.7500).

The excess energy over the best structure of this formula in the dataset is 0.13 eV/f.u. As for the calculated formation energy: -0.7 eV/f.u.

***

The following is a GGA-PBE calculation of a relaxed structure of RbZn3In, from Alexandria via LeMat-Bulk.

The space group is Pm-3m (No. 221) and the conventional cell measures 5.4120, 5.4120 and 5.4120 Å, with angles of 90.00, 90.00 and 90.00 degrees. The asymmetric unit holds Rb at (0.0000, 0.0000, 0.0000), Zn at (0.0000, 0.5000, 0.5000) and In at (0.5000, 0.5000, 0.5000).

The excess energy over the best structure of this formula in the dataset is 0.00 eV/f.u. As for the calculated formation energy: 1.2 eV/f.u.